# 1
# SmV2IO9 PBE with a Hubbard U optimized geometry
data_SmV2IO9
_space_group_name_H-M_alt 'P b c m'
_space_group_IT_number 57
_cell_length_a 7.046
_cell_length_b 14.558
_cell_length_c 7.290
_cell_angle_alpha 90.00
_cell_angle_beta 90.00
_cell_angle_gamma 90.00
loop_
_space_group_symop_operation_xyz
'x,y,z'
'-x,-y,-z'
'-x,-y,z+1/2'
'x,y,-z+1/2'
'x,-y+1/2,-z'
'-x,y+1/2,z'
'-x,y+1/2,-z+1/2'
'x,-y+1/2,z+1/2'
loop_
_atom_site_label
_atom_site_fract_x
_atom_site_fract_y
_atom_site_fract_z
Sm1 0.149 0.046 0.250
V1 0.180 0.729 0.750
V2 0.459 0.250 0.000
I1 0.297 0.054 0.750
O1 0.010 0.691 0.250
O2 0.080 0.624 0.750
O3 0.171 0.512 0.070
O4 0.262 0.750 0.000
O5 0.324 0.157 0.044
O6 0.472 0.001 0.250
O7 0.472 0.721 0.750
# * energy: -6.87 eV per atom



# 2
# SmWIO4 PBE with a Hubbard U optimized geometry
data_SmWIO4
_space_group_name_H-M_alt 'C 1 2/m 1'
_space_group_IT_number 12
_cell_length_a 11.102
_cell_length_b 7.395
_cell_length_c 7.238
_cell_angle_alpha 90.00
_cell_angle_beta 106.40
_cell_angle_gamma 90.00
loop_
_space_group_symop_operation_xyz
'x,y,z'
'-x,-y,-z'
'-x,y,-z'
'x,-y,z'
'x+1/2,y+1/2,z'
'-x+1/2,-y+1/2,-z'
'-x+1/2,y+1/2,-z'
'x+1/2,-y+1/2,z'
loop_
_atom_site_label
_atom_site_fract_x
_atom_site_fract_y
_atom_site_fract_z
Sm1 0.244 0.000 0.135
W1 0.134 0.500 0.262
I1 0.017 0.000 0.752
O1 0.036 0.500 0.803
O2 0.193 0.311 0.149
O3 0.196 0.500 0.522
# * energy: -7.01 eV per atom



> Look up the energy of the first one.

-6.87 eV per atom